Here is a geometry-optimized Ca3MgU2P6 structure from the Alexandria database. Energies are from PBE.

As for the total magnetization: 4.015 μB/cell. As for the calculated volume: 23.00 Å³/atom. The calculation puts the formation enthalpy at 0 K at -0.97 eV per atom.

It has space group C2/m (No. 12), with a = 6.942 Å, b = 12.017 Å, c = 7.007 Å, α = 90.00°, β = 109.21° and γ = 90.00°. The asymmetric unit holds Ca at (0.000, 0.000, 0.000), Ca at (0.000, 0.336, 0.000), Mg at (0.000, 0.500, 0.500), U at (0.000, 0.167, 0.500), P at (0.232, 0.000, 0.726) and P at (0.247, 0.328, 0.725).